[1]
# CaNi7H12 (PBE, optimized geometry)
data_CaNi7H12
_chemical_formula_sum 'Ca3 Ni21 H36'
_space_group_name_H-M_alt 'R -3'
_space_group_IT_number 148
_space_group_name_Hall '-R 3'
_cell_length_a 9.4471
_cell_length_b 9.4471
_cell_length_c 5.5468
_cell_angle_alpha 90.00
_cell_angle_beta 90.00
_cell_angle_gamma 120.00
loop_
_atom_site_label
_atom_site_fract_x
_atom_site_fract_y
_atom_site_fract_z
Ca1 0.0000 0.0000 0.0000
Ni1 0.0000 0.0000 0.5000
Ni2 0.0475 0.5776 0.2895
H1 0.0544 0.7777 0.9237
H2 0.0822 0.1894 0.3665
# * raw total energy: -4.22 eV per atom



[2]
# CaNi5H11 (PBE, optimized geometry)
data_CaNi5H11
_chemical_formula_sum 'Ca2 Ni10 H22'
_space_group_name_H-M_alt 'C 1 2/m 1'
_space_group_IT_number 12
_space_group_name_Hall '-C 2y'
_cell_length_a 5.9537
_cell_length_b 8.4772
_cell_length_c 5.8936
_cell_angle_alpha 90.00
_cell_angle_beta 113.44
_cell_angle_gamma 90.00
loop_
_atom_site_label
_atom_site_fract_x
_atom_site_fract_y
_atom_site_fract_z
Ca1 0.0000 0.0000 0.0000
Ni1 0.0000 0.5000 0.0000
Ni2 0.2160 0.1509 0.6412
H1 0.0000 0.0000 0.5000
H2 0.0757 0.2136 0.3532
H3 0.0792 0.5000 0.3074
H4 0.1867 0.3516 0.0610
# * raw total energy: -4.09 eV per atom